# 1
VASP calculation (PBE-GGA) on a geometry-optimized ZrIrSe2 structure.

* density: 7.35 g cm⁻³
* M_tot: 0.0 μB/cell
* ΔE to the lowest computed polymorph: 173.4 meV per atom
* formation energy (no corrections): -0.54 eV/atom
* density of states at the Fermi level: 6.7 states/eV per cell

Cell lengths 13.2161, 3.4807, 4.3762 Å; angles 90.00, 97.60, 90.00 degrees
Last column: nearest neighbours and their distance in Å.
Element x y z (fractional)
Zr  0.0000  0.0000  0.0000  4 Se 2.75, 4 Ir 2.80
Zr  0.5000  0.5000  0.0000  4 Se 2.75, 4 Ir 2.80
Ir  0.0000  0.5000  0.5000  2 Se 2.44
Ir  0.5000  0.0000  0.5000  2 Se 2.44
Se  0.1518  0.5000  0.2359  1 Ir 2.44
Se  0.3482  0.0000  0.7641  1 Ir 2.44
Se  0.6518  0.0000  0.2359  1 Ir 2.44
Se  0.8482  0.5000  0.7641  1 Ir 2.44



# 2
VASP calculation (PBE-GGA) on a geometry-optimized ZrIrSe4 structure.

* density: 8.55 g cm⁻³
* M_tot: 0.0 μB/cell
* formation energy (no corrections): 0.71 eV/atom
* density of states at the Fermi level: 4.3 states/eV per cell

Cell lengths 5.4804, 5.4804, 5.4804 Å; angles 60.00, 60.00, 60.00 degrees
Last column: nearest neighbours and their distance in Å.
Element x y z (fractional)
Zr  0.0000  0.0000  0.0000  12 Se 3.22, 4 Ir 3.36
Ir  0.7500  0.7500  0.7500  12 Se 3.21, 4 Zr 3.36
Se  0.3760  0.3760  0.3760  6 Se 2.72-2.76
Se  0.3760  0.3760  0.8719  6 Se 2.72-2.76
Se  0.3760  0.8719  0.3760  6 Se 2.72-2.76
Se  0.8719  0.3760  0.3760  6 Se 2.72-2.76



# 3
VASP calculation (PBE-GGA) on a geometry-optimized Zr2IrSe structure.

* density: 9.95 g cm⁻³
* M_tot: 0.0 μB/cell
* formation energy (no corrections): -0.65 eV/atom
* density of states at the Fermi level: 5.4 states/eV per cell

Cell lengths 3.4628, 4.3318, 10.0952 Å; angles 90.00, 90.00, 90.00 degrees
Last column: nearest neighbours and their distance in Å.
Element x y z (fractional)
Zr  0.0000  0.0000  0.0000  4 Se 2.80, 2 Ir 2.94
Zr  0.0000  0.5000  0.2366  4 Ir 2.77
Zr  0.5000  0.0000  0.7366  4 Ir 2.77
Zr  0.5000  0.5000  0.5000  4 Se 2.80, 2 Ir 2.94
Ir  0.0000  0.5000  0.7350  6 Zr 2.77-2.94, 2 Se 2.87
Ir  0.5000  0.0000  0.2350  6 Zr 2.77-2.94, 2 Se 2.87
Se  0.0000  0.0000  0.4613  4 Zr 2.80, 2 Ir 2.87
Se  0.5000  0.5000  0.9613  4 Zr 2.80, 2 Ir 2.87



# 4
VASP calculation (PBE-GGA) on a geometry-optimized Zr2IrSe structure.

* density: 9.11 g cm⁻³
* M_tot: 0.0 μB/cell
* formation energy (no corrections): -0.51 eV/atom
* density of states at the Fermi level: 9.9 states/eV per cell

Cell lengths 7.2286, 7.2286, 6.3291 Å; angles 90.00, 90.00, 90.00 degrees
Last column: nearest neighbours and their distance in Å.
Element x y z (fractional)
Zr  0.2431  0.2500  0.1250  2 Ir 2.64, 2 Se 2.71
Zr  0.2500  0.7431  0.3750  2 Ir 2.64, 2 Se 2.71
Zr  0.2500  0.7569  0.8750  2 Ir 2.64, 2 Se 2.71
Zr  0.2569  0.2500  0.6250  2 Ir 2.64, 2 Se 2.71
Zr  0.7431  0.7500  0.6250  2 Ir 2.64, 2 Se 2.71
Zr  0.7500  0.2431  0.8750  2 Ir 2.64, 2 Se 2.71
Zr  0.7500  0.2569  0.3750  2 Ir 2.64, 2 Se 2.71
Zr  0.7569  0.7500  0.1250  2 Ir 2.64, 2 Se 2.71
Ir  0.0000  0.0000  0.0000  4 Zr 2.64
Ir  0.0000  0.5000  0.2500  4 Zr 2.64
Ir  0.5000  0.0000  0.7500  4 Zr 2.64
Ir  0.5000  0.5000  0.5000  4 Zr 2.64
Se  0.0000  0.0000  0.5000  4 Zr 2.71
Se  0.0000  0.5000  0.7500  4 Zr 2.71
Se  0.5000  0.0000  0.2500  4 Zr 2.71
Se  0.5000  0.5000  0.0000  4 Zr 2.71



Q: What is the density in the fourth record?
A: 9.11 g cm⁻³